Entry from Alexandria: CoNiP2S6 after structural relaxation (PBEsol).

```
data_CoNiP2S6
_chemical_formula_sum 'Co2 Ni2 P4 S12'
_cell_length_a 5.707
_cell_length_b 9.883
_cell_length_c 6.510
_cell_angle_alpha 90.00
_cell_angle_beta 106.95
_cell_angle_gamma 90.00
_symmetry_space_group_name_H-M 'C 1 2 1'
_symmetry_Int_Tables_number 5
_symmetry_space_group_name_Hall 'C 2y'
loop_
_atom_site_label
_atom_site_fract_x
_atom_site_fract_y
_atom_site_fract_z
Co1 0.000 0.000 0.000
Ni1 0.000 0.667 0.000
P1 0.059 0.333 0.175
S1 0.220 0.839 0.229
S2 0.236 0.009 0.772
S3 0.246 0.152 0.228
```

Formation energy from raw total energies ... -0.280 eV/atom
D(E_F) ... 0.28 states/eV/atom
VASP energy ... -5.46 eV per atom

=====

Entry from Alexandria: Tl2ReHg after structural relaxation (PBEsol).

```
data_Tl2ReHg
_chemical_formula_sum 'Tl8 Re4 Hg4'
_cell_length_a 7.021
_cell_length_b 7.021
_cell_length_c 7.021
_cell_angle_alpha 90.00
_cell_angle_beta 90.00
_cell_angle_gamma 90.00
_symmetry_space_group_name_H-M 'F -4 3 m'
_symmetry_Int_Tables_number 216
_symmetry_space_group_name_Hall 'F -4 2 3'
loop_
_atom_site_label
_atom_site_fract_x
_atom_site_fract_y
_atom_site_fract_z
Tl1 0.000 0.000 0.000
Tl2 0.250 0.250 0.250
Re1 0.250 0.250 0.750
Hg1 0.000 0.000 0.500
```

Offset from the most stable computed form ... 437 meV/atom
D(E_F) ... 1.00 states/eV/atom
VASP energy ... -3.64 eV per atom

=====

Entry from Alexandria: LiMn2O3F after structural relaxation (PBEsol).

```
data_LiMn2O3F
_chemical_formula_sum 'Li4 Mn8 O12 F4'
_cell_length_a 10.035
_cell_length_b 4.893
_cell_length_c 5.708
_cell_angle_alpha 90.00
_cell_angle_beta 90.00
_cell_angle_gamma 90.00
_symmetry_space_group_name_H-M 'P n a 21'
_symmetry_Int_Tables_number 33
_symmetry_space_group_name_Hall 'P 2c -2n'
loop_
_atom_site_label
_atom_site_fract_x
_atom_site_fract_y
_atom_site_fract_z
Li1 0.084 0.034 0.000
Mn1 0.013 0.478 0.251
Mn2 0.230 0.967 0.487
O1 0.075 0.729 0.495
O2 0.095 0.660 0.996
O3 0.169 0.233 0.246
F1 0.150 0.224 0.742
```

Formation energy from raw total energies ... -1.867 eV/atom
Offset from the most stable computed form ... 53 meV/atom
D(E_F) ... 0.24 states/eV/atom
VASP energy ... -7.46 eV per atom

=====

Entry from Alexandria: Ca3MgSn after structural relaxation (PBEsol).

```
data_Ca3MgSn
_chemical_formula_sum 'Ca3 Mg1 Sn1'
_cell_length_a 5.731
_cell_length_b 5.731
_cell_length_c 5.731
_cell_angle_alpha 90.00
_cell_angle_beta 90.00
_cell_angle_gamma 90.00
_symmetry_space_group_name_H-M 'P m -3 m'
_symmetry_Int_Tables_number 221
_symmetry_space_group_name_Hall '-P 4 2 3'
loop_
_atom_site_label
_atom_site_fract_x
_atom_site_fract_y
_atom_site_fract_z
Ca1 0.000 0.000 0.500
Mg1 0.000 0.000 0.000
Sn1 0.500 0.500 0.500
```

D(E_F) ... 0.99 states/eV/atom
VASP energy ... -2.17 eV per atom

=====

Entry from Alexandria: SiAgRu4 after structural relaxation (PBEsol).

```
data_SiAgRu4
_chemical_formula_sum 'Si4 Ag4 Ru16'
_cell_length_a 7.091
_cell_length_b 7.091
_cell_length_c 7.091
_cell_angle_alpha 90.00
_cell_angle_beta 90.00
_cell_angle_gamma 90.00
_symmetry_space_group_name_H-M 'F -4 3 m'
_symmetry_Int_Tables_number 216
_symmetry_space_group_name_Hall 'F -4 2 3'
loop_
_atom_site_label
_atom_site_fract_x
_atom_site_fract_y
_atom_site_fract_z
Si1 0.000 0.000 0.000
Ag1 0.250 0.250 0.250
Ru1 0.125 0.125 0.625
```

Formation energy from raw total energies ... 0.728 eV/atom
D(E_F) ... 1.59 states/eV/atom
VASP energy ... -7.56 eV per atom

=====

Entry from Alexandria: Li3Si2Ni2O8 after structural relaxation (PBEsol).

```
data_Li3Si2Ni2O8
_chemical_formula_sum 'Li6 Si4 Ni4 O16'
_cell_length_a 6.396
_cell_length_b 4.991
_cell_length_c 10.329
_cell_angle_alpha 90.00
_cell_angle_beta 90.22
_cell_angle_gamma 90.00
_symmetry_space_group_name_H-M 'P 1 c 1'
_symmetry_Int_Tables_number 7
_symmetry_space_group_name_Hall 'P -2yc'
loop_
_atom_site_label
_atom_site_fract_x
_atom_site_fract_y
_atom_site_fract_z
Li1 0.000 0.040 0.000
Li2 0.258 0.068 0.241
Li3 0.750 0.433 0.916
Si1 0.009 0.440 0.670
Si2 0.505 0.074 0.490
Ni1 0.260 0.434 0.916
Ni2 0.743 0.074 0.240
O1 0.013 0.447 0.020
O2 0.220 0.458 0.246
O3 0.287 0.047 0.925
O4 0.504 0.397 0.468
O5 0.509 0.002 0.645
O6 0.717 0.044 0.919
O7 0.807 0.436 0.246
O8 0.994 0.109 0.673
```

Formation energy from raw total energies ... -1.897 eV/atom
D(E_F) ... 0.43 states/eV/atom
VASP energy ... -6.68 eV per atom

=====

Entry from Alexandria: Li5Ni2P3O12 after structural relaxation (PBEsol).

```
data_Li5Ni2P3O12
_chemical_formula_sum 'Li20 Ni8 P12 O48'
_cell_length_a 8.454
_cell_length_b 8.645
_cell_length_c 12.067
_cell_angle_alpha 90.00
_cell_angle_beta 90.56
_cell_angle_gamma 90.00
_symmetry_space_group_name_H-M 'P 1 21 1'
_symmetry_Int_Tables_number 4
_symmetry_space_group_name_Hall 'P 2yb'
loop_
_atom_site_label
_atom_site_fract_x
_atom_site_fract_y
_atom_site_fract_z
Li1 0.050 0.000 0.065
Li2 0.104 0.958 0.501
Li3 0.155 0.891 0.276
Li4 0.178 0.322 0.560
Li5 0.179 0.750 0.897
Li6 0.322 0.130 0.938
Li7 0.324 0.708 0.602
Li8 0.372 0.503 0.009
Li9 0.408 0.414 0.245
Li10 0.439 0.462 0.448
Ni1 0.000 0.256 0.355
Ni2 0.007 0.682 0.139
Ni3 0.496 0.680 0.862
Ni4 0.497 0.769 0.358
P1 0.138 0.326 0.096
P2 0.145 0.620 0.400
P3 0.203 0.472 0.758
P4 0.291 0.977 0.738
P5 0.356 0.123 0.397
P6 0.358 0.837 0.100
O1 0.032 0.269 0.191
O2 0.032 0.732 0.464
O3 0.046 0.404 0.804
O4 0.089 0.489 0.057
O5 0.109 0.449 0.429
O6 0.124 0.204 0.003
O7 0.133 0.650 0.277
O8 0.160 0.591 0.667
O9 0.178 0.088 0.369
O10 0.183 0.813 0.059
O11 0.194 0.094 0.802
O12 0.201 0.898 0.640
O13 0.290 0.551 0.858
O14 0.300 0.349 0.700
O15 0.317 0.653 0.442
O16 0.320 0.339 0.121
O17 0.350 0.858 0.826
O18 0.366 0.243 0.493
O19 0.368 0.837 0.226
O20 0.408 0.999 0.057
O21 0.430 0.968 0.433
O22 0.446 0.048 0.688
O23 0.451 0.199 0.303
O24 0.460 0.711 0.044
```

Formation energy from raw total energies ... -2.008 eV/atom
Offset from the most stable computed form ... 0 meV/atom
VASP energy ... -6.67 eV per atom

=====

Entry from Alexandria: Na3TcBr after structural relaxation (PBEsol).

```
data_Na3TcBr
_chemical_formula_sum 'Na3 Tc1 Br1'
_cell_length_a 5.419
_cell_length_b 5.419
_cell_length_c 5.419
_cell_angle_alpha 90.00
_cell_angle_beta 90.00
_cell_angle_gamma 90.00
_symmetry_space_group_name_H-M 'P m -3 m'
_symmetry_Int_Tables_number 221
_symmetry_space_group_name_Hall '-P 4 2 3'
loop_
_atom_site_label
_atom_site_fract_x
_atom_site_fract_y
_atom_site_fract_z
Na1 0.000 0.000 0.500
Tc1 0.500 0.500 0.500
Br1 0.000 0.000 0.000
```

Formation energy from raw total energies ... 0.643 eV/atom
D(E_F) ... 0.60 states/eV/atom
VASP energy ... -2.82 eV per atom